[1]
DFT (GGA-PBE) results for crystalline MgMn2Nb2 at its relaxed geometry.

CIF file:
```
data_MgMn2Nb2
_space_group_name_H-M_alt 'P 4/m b m'
_space_group_IT_number 127
_space_group_name_Hall '-P 4 2ab'
_cell_length_a 7.1426
_cell_length_b 7.1426
_cell_length_c 3.2101
_cell_angle_alpha 90.00
_cell_angle_beta 90.00
_cell_angle_gamma 90.00
loop_
_atom_site_label
_atom_site_type_symbol
_atom_site_fract_x
_atom_site_fract_y
_atom_site_fract_z
Mg1 Mg 0.0000 0.0000 0.0000
Mn1 Mn 0.1255 0.3745 0.0000
Nb1 Nb 0.1707 0.6707 0.5000
```

Properties
**E**: -78.646 eV/cell
**Theoretical density**: 6.5 Mg/m³
**ΔH_f (0 K)**: 150 meV/atom

=====

[2]
DFT (GGA-PBE) results for crystalline Mg6MnNb at its relaxed geometry.

CIF file:
```
data_Mg6MnNb
_space_group_name_H-M_alt 'A m m 2'
_space_group_IT_number 38
_space_group_name_Hall 'A 2 -2'
_cell_length_a 4.9339
_cell_length_b 5.9208
_cell_length_c 11.0696
_cell_angle_alpha 90.00
_cell_angle_beta 90.00
_cell_angle_gamma 90.00
loop_
_atom_site_label
_atom_site_type_symbol
_atom_site_fract_x
_atom_site_fract_y
_atom_site_fract_z
Mg1 Mg 0.0000 0.0000 0.0000
Mg2 Mg 0.0000 0.0000 0.4898
Mg3 Mg 0.0000 0.2454 0.7588
Mg4 Mg 0.5000 0.2501 0.0991
Mn1 Mn 0.5000 0.0000 0.3406
Nb1 Nb 0.5000 0.0000 0.8515
```

Properties
**Polymorph energy (0 for the lowest one)**: 0.046 eV per atom
**E**: -53.938 eV/cell
**Theoretical density**: 3.0 Mg/m³
**ΔH_f (0 K)**: 230 meV/atom

=====

[3]
DFT (GGA-PBE) results for crystalline MgMnNb3 at its relaxed geometry.

CIF file:
```
data_MgMnNb3
_space_group_name_H-M_alt 'P m -3 m'
_space_group_IT_number 221
_space_group_name_Hall '-P 4 2 3'
_cell_length_a 4.6465
_cell_length_b 4.6465
_cell_length_c 4.6465
_cell_angle_alpha 90.00
_cell_angle_beta 90.00
_cell_angle_gamma 90.00
loop_
_atom_site_label
_atom_site_type_symbol
_atom_site_fract_x
_atom_site_fract_y
_atom_site_fract_z
Mg1 Mg 0.0000 0.0000 0.0000
Mn1 Mn 0.5000 0.5000 0.5000
Nb1 Nb 0.0000 0.5000 0.5000
```

Properties
**Polymorph energy (0 for the lowest one)**: 0.000 eV per atom
**E**: -37.831 eV/cell
**Theoretical density**: 5.9 Mg/m³
**ΔH_f (0 K)**: 628 meV/atom